[1]
A plane-wave DFT calculation with PBE was carried out for crystalline AlSiAg2 at its relaxed geometry.

## Properties
DFT total energy (eV per cell): -14.3
N(E_F) (states/eV/f.u.): 1.1

Unit cell a=2.908 b=2.908 c=8.051 alpha=90.00 beta=90.00 gamma=97.76
Element x y z (fractional)
Al: 0.000 0.000 0.000
Si: 0.500 0.500 0.222
Ag: 0.000 0.000 0.475
Ag: 0.500 0.500 0.753



[2]
A plane-wave DFT calculation with PBE was carried out for crystalline AlSi2Ag at its relaxed geometry.

## Properties
DFT total energy (eV per cell): -16.1
N(E_F) (states/eV/f.u.): 1.4

Unit cell a=9.272 b=9.272 c=9.272 alpha=17.63 beta=17.63 gamma=17.63
Element x y z (fractional)
Al: 0.000 0.000 0.000
Si: 0.254 0.254 0.254
Si: 0.746 0.746 0.746
Ag: 0.500 0.500 0.500



[3]
A plane-wave DFT calculation with PBE was carried out for crystalline Al2SiAg at its relaxed geometry.

## Properties
DFT total energy (eV per cell): -15.0
N(E_F) (states/eV/f.u.): 1.6

Unit cell a=5.822 b=5.822 c=5.822 alpha=153.05 beta=130.22 gamma=57.51
Element x y z (fractional)
Al: 0.000 0.000 0.000
Al: 0.740 0.240 0.500
Si: 0.236 0.736 0.500
Ag: 0.483 0.483 0.000



[4]
A plane-wave DFT calculation with PBE was carried out for crystalline AlSiAg at its relaxed geometry.

## Properties
DFT total energy (eV per cell): -18.5
N(E_F) (states/eV/f.u.): 1.9

Unit cell a=4.393 b=4.393 c=9.546 alpha=90.00 beta=90.00 gamma=120.00
Element x y z (fractional)
Al: 0.000 0.000 0.250
Al: 0.000 0.000 0.750
Si: 0.000 0.000 0.000
Si: 0.000 0.000 0.500
Ag: 0.333 0.667 0.250
Ag: 0.667 0.333 0.750



[5]
A plane-wave DFT calculation with PBE was carried out for crystalline AlSiAg2 at its relaxed geometry.

## Properties
DFT total energy (eV per cell): -14.3
N(E_F) (states/eV/f.u.): 0.7

Unit cell a=3.529 b=3.529 c=5.426 alpha=90.00 beta=90.00 gamma=90.00
Element x y z (fractional)
Al: 0.000 0.000 0.000
Si: 0.500 0.500 0.247
Ag: 0.000 0.000 0.485
Ag: 0.500 0.500 0.758



[6]
A plane-wave DFT calculation with PBE was carried out for crystalline AlSi2Ag at its relaxed geometry.

## Properties
DFT total energy (eV per cell): -16.0
N(E_F) (states/eV/f.u.): 1.5

Unit cell a=4.872 b=4.872 c=4.872 alpha=130.11 beta=130.11 gamma=73.23
Element x y z (fractional)
Al: 0.000 0.000 0.000
Si: 0.250 0.750 0.500
Si: 0.750 0.250 0.500
Ag: 0.500 0.500 0.000